The following is a DFT calculation (PBE-GGA) of a relaxed structure of SrTa4Se8.

Magnetization in μB/f.u.: 0.00
ΔE to the lowest computed polymorph in meV per atom: 96
Final energy in eV per atom: -6.74
E_form (uncorrected) in eV per atom: -0.815

a = 10.8522 Å, b = 10.8522 Å, c = 10.8522 Å
α = 90.00°, β = 90.00°, γ = 90.00°
Last column: nearest neighbours and their distance in Å.
Space group F-43m (No. 216)
One atom of each set of equivalent atoms:
Sr 0.0000 0.0000 0.0000 [4 per cell]  4 Se 2.77
Ta 0.1039 0.1039 0.6039 [16 per cell]  6 Se 2.58-2.78
Se 0.1308 0.1308 0.3692 [16 per cell]  3 Ta 2.58
Se 0.1473 0.1473 0.8527 [16 per cell]  1 Sr 2.77, 3 Ta 2.78